Zr12SbPb3: relaxed, PBE-GGA.

Lattice parameters (Å, degrees): 5.675 5.675 11.351 90.00 90.00 90.00
Element x y z (fractional)
Zr 0.000 0.000 0.124
Zr 0.000 0.000 0.375
Zr 0.000 0.000 0.625
Zr 0.000 0.000 0.876
Zr 0.249 0.500 0.253
Zr 0.249 0.500 0.747
Zr 0.500 0.249 0.000
Zr 0.500 0.250 0.500
Zr 0.500 0.750 0.500
Zr 0.500 0.751 0.000
Zr 0.751 0.500 0.253
Zr 0.751 0.500 0.747
Sb 0.000 0.500 0.500
Pb 0.000 0.500 0.000
Pb 0.500 0.000 0.250
Pb 0.500 0.000 0.750

Summary:
As for the space group: Pmmm (47). For the uncorrected formation energy, the calculation gives -230 meV per atom. As for the density: 8.4 Mg/m³. The total magnetization is 0.0 Bohr magnetons per cell.